Entry 1:
DFT (PBE) results for a geometry-optimized Ir2PtRh structure.

Cell and atoms, written as POSCAR:
```
Ir2PtRh
1.0
4.731 0.000 0.000
2.366 3.581 -0.117
2.366 0.575 3.537
Pt Rh Ir
1 1 2
Cartesian
7.096 3.117 2.565 Pt
2.365 1.039 0.855 Rh
4.731 2.079 1.709 Ir
2.366 3.580 -0.116 Ir
```

Computed properties:
- Space-group type: I4/mmm (139)

***

Entry 2:
DFT (PBE) results for a geometry-optimized Ir2PtRh structure.

Cell and atoms, written as POSCAR:
```
Ir2PtRh
1.0
-3.487 7.428 3.943
-5.115 7.331 1.724
-5.743 5.850 3.959
Rh Pt Ir
1 1 2
Cartesian
-10.724 15.407 7.196 Rh
-7.173 10.305 4.813 Pt
-14.343 20.607 9.624 Ir
-3.625 5.208 2.432 Ir
```

Computed properties:
- Space-group type: R3m (160)

***

Entry 3:
DFT (PBE) results for a geometry-optimized Ir2PtRh9 structure.

Cell and atoms, written as POSCAR:
```
Ir2PtRh9
1.0
3.854 0.000 0.000
0.000 3.854 0.000
0.000 0.000 11.583
Rh Pt Ir
9 1 2
Cartesian
1.927 1.927 3.882 Rh
1.927 0.000 1.970 Rh
0.000 1.927 9.613 Rh
1.927 0.000 9.613 Rh
0.000 1.927 5.791 Rh
0.000 1.927 1.970 Rh
1.927 0.000 5.791 Rh
1.927 1.927 0.000 Rh
1.927 1.927 7.701 Rh
0.000 0.000 0.000 Pt
0.000 0.000 7.731 Ir
0.000 0.000 3.852 Ir
```

Computed properties:
- Space-group type: P4/mmm (123)

***

Entry 4:
DFT (PBE) results for a geometry-optimized Ir2Pt5Rh12 structure.

Cell and atoms, written as POSCAR:
```
Ir2Pt5Rh12
1.0
5.137 0.000 -1.651
-0.639 6.387 -1.988
-0.005 0.055 8.799
Pt Rh Ir
5 12 2
Cartesian
0.956 3.198 2.973 Pt
3.537 3.244 2.187 Pt
3.281 0.570 1.393 Pt
1.211 5.872 3.767 Pt
-0.320 3.194 -0.994 Pt
0.390 3.954 5.495 Rh
0.124 1.335 4.846 Rh
2.886 3.954 4.693 Rh
4.103 2.489 -0.336 Rh
2.131 1.986 6.630 Rh
1.769 5.107 1.149 Rh
3.796 5.925 2.994 Rh
1.607 2.489 0.466 Rh
2.723 1.335 4.010 Rh
4.368 5.107 0.313 Rh
0.696 0.517 2.166 Rh
2.361 4.456 -1.471 Rh
3.902 0.000 -1.254 Ir
1.235 0.000 -0.397 Ir
```

Computed properties:
- Space-group type: C2/m (12)

***

Entry 5:
DFT (PBE) results for a geometry-optimized Ir2Pt2Rh structure.

Cell and atoms, written as POSCAR:
```
Ir2Pt2Rh
1.0
6.706 0.000 0.000
0.000 6.706 0.000
0.000 0.000 3.593
Rh Ir Pt
2 4 4
Cartesian
3.353 3.353 0.000 Rh
0.000 0.000 0.000 Rh
0.878 2.475 0.000 Ir
5.828 4.231 0.000 Ir
2.475 5.828 0.000 Ir
4.231 0.878 0.000 Ir
4.474 5.585 1.796 Pt
5.585 2.232 1.796 Pt
1.121 4.474 1.796 Pt
2.232 1.121 1.796 Pt
```

Computed properties:
- Space-group type: P4/mbm (127)

***

Entry 6:
DFT (PBE) results for a geometry-optimized Ir2PtRh6 structure.

Cell and atoms, written as POSCAR:
```
Ir2PtRh6
1.0
-0.122 -1.797 3.414
-2.132 -2.355 -3.498
5.383 -5.552 -2.729
Pt Rh Ir
1 6 2
Cartesian
2.691 -2.776 -1.364 Pt
2.462 -6.173 -3.160 Rh
0.667 -3.530 0.348 Rh
0.870 -0.918 -0.452 Rh
2.511 -5.385 -0.562 Rh
0.617 -4.318 -2.250 Rh
2.259 -8.785 -2.360 Rh
4.293 -7.230 -1.469 Ir
-1.165 -2.474 -1.343 Ir
```

Computed properties:
- Space-group type: C2/m (12)

***

Entry 7:
DFT (PBE) results for a geometry-optimized IrPtRh2 structure.

Cell and atoms, written as POSCAR:
```
IrPtRh2
1.0
-0.529 -2.470 1.080
3.758 -0.451 0.810
-0.783 2.322 4.926
Rh Pt Ir
2 1 1
Cartesian
1.416 -0.872 2.192 Rh
-0.003 0.009 0.019 Rh
1.027 0.280 4.636 Pt
-0.387 1.146 2.432 Ir
```

Computed properties:
- Space-group type: Pmm2 (25)

***

Entry 8:
DFT (PBE) results for a geometry-optimized IrPt2Rh structure.

Cell and atoms, written as POSCAR:
```
IrPt2Rh
1.0
-4.656 0.963 0.505
-2.486 -4.068 -0.361
3.791 1.175 2.667
Ir Rh Pt
1 1 2
Cartesian
-2.218 0.293 1.622 Ir
-1.134 -2.223 1.189 Rh
-3.571 -1.553 0.072 Pt
0.000 0.000 0.000 Pt
```

Computed properties:
- Space-group type: I4/mmm (139)

***

no.,formation enthalpy at 0 K (kJ/mol of formula units),mass density (Mg/m³)
1,94,18.81
2,-2,19.25
3,-23,14.53
4,300,14.90
5,188,18.04
6,-18,15.34
7,4,16.83
8,13,18.99